Record 1
The following is a PBE calculation of Sc2RuAuC after structural relaxation, from the Alexandria database.

Computed properties:
total magnetic moment = 0.0 μB/cell
DOS(E_F) = 4.23 states/eV/f.u.
crystal system = tetragonal
mass density = 8.1 g cm⁻³
uncorrected energy = -37.31 eV for the cell shown
E_form = -0.574 eV per atom

Cell and atoms, written as CIF:
```
data_Sc2RuAuC
_cell_length_a 4.5799
_cell_length_b 4.5799
_cell_length_c 3.8906
_cell_angle_alpha 90.00
_cell_angle_beta 90.00
_cell_angle_gamma 90.00
_space_group_name_H-M_alt 'P 4/m m m'
_space_group_IT_number 123
_space_group_name_Hall '-P 4 2'
loop_
_atom_site_label
_atom_site_type_symbol
_atom_site_fract_x
_atom_site_fract_y
_atom_site_fract_z
Sc1 Sc 0.0000 0.5000 0.0000
Ru1 Ru 0.0000 0.0000 0.5000
Au1 Au 0.5000 0.5000 0.5000
C1 C 0.0000 0.0000 0.0000
```

---

Record 2
The following is a PBE calculation of ScRu2AuC after structural relaxation, from the Alexandria database.

Computed properties:
total magnetic moment = 0.6 μB/cell
DOS(E_F) = 4.50 states/eV/f.u.
crystal system = tetragonal
mass density = 10.4 g cm⁻³
uncorrected energy = -38.39 eV for the cell shown
E_form = -0.202 eV per atom

Cell and atoms, written as CIF:
```
data_ScRu2AuC
_cell_length_a 4.0445
_cell_length_b 4.0445
_cell_length_c 4.4508
_cell_angle_alpha 90.00
_cell_angle_beta 90.00
_cell_angle_gamma 90.00
_space_group_name_H-M_alt 'P 4/m m m'
_space_group_IT_number 123
_space_group_name_Hall '-P 4 2'
loop_
_atom_site_label
_atom_site_type_symbol
_atom_site_fract_x
_atom_site_fract_y
_atom_site_fract_z
Sc1 Sc 0.0000 0.0000 0.0000
Ru1 Ru 0.0000 0.5000 0.5000
Au1 Au 0.5000 0.5000 0.0000
C1 C 0.0000 0.0000 0.5000
```

---

Record 3
The following is a PBE calculation of Sr2RuAuC after structural relaxation, from the Alexandria database.

Computed properties:
total magnetic moment = 0.0 μB/cell
DOS(E_F) = 4.19 states/eV/f.u.
crystal system = tetragonal
mass density = 6.9 g cm⁻³
uncorrected energy = -25.67 eV for the cell shown
E_form = -0.106 eV per atom

Cell and atoms, written as CIF:
```
data_Sr2RuAuC
_cell_length_a 5.5084
_cell_length_b 5.5084
_cell_length_c 3.8769
_cell_angle_alpha 90.00
_cell_angle_beta 90.00
_cell_angle_gamma 90.00
_space_group_name_H-M_alt 'P 4/m m m'
_space_group_IT_number 123
_space_group_name_Hall '-P 4 2'
loop_
_atom_site_label
_atom_site_type_symbol
_atom_site_fract_x
_atom_site_fract_y
_atom_site_fract_z
Sr1 Sr 0.0000 0.5000 0.0000
Ru1 Ru 0.0000 0.0000 0.5000
Au1 Au 0.5000 0.5000 0.5000
C1 C 0.0000 0.0000 0.0000
```

---

Record 4
The following is a PBE calculation of Tm2RuAuC after structural relaxation, from the Alexandria database.

Computed properties:
total magnetic moment = 0.0 μB/cell
DOS(E_F) = 2.02 states/eV/f.u.
crystal system = tetragonal
mass density = 11.6 g cm⁻³
uncorrected energy = -33.69 eV for the cell shown
E_form = -0.595 eV per atom

Cell and atoms, written as CIF:
```
data_Tm2RuAuC
_cell_length_a 4.8980
_cell_length_b 4.8980
_cell_length_c 3.8692
_cell_angle_alpha 90.00
_cell_angle_beta 90.00
_cell_angle_gamma 90.00
_space_group_name_H-M_alt 'P 4/m m m'
_space_group_IT_number 123
_space_group_name_Hall '-P 4 2'
loop_
_atom_site_label
_atom_site_type_symbol
_atom_site_fract_x
_atom_site_fract_y
_atom_site_fract_z
Tm1 Tm 0.0000 0.5000 0.0000
Ru1 Ru 0.0000 0.0000 0.5000
Au1 Au 0.5000 0.5000 0.5000
C1 C 0.0000 0.0000 0.0000
```

---

Record 5
The following is a PBE calculation of Y2RuAuC after structural relaxation, from the Alexandria database.

Computed properties:
total magnetic moment = 0.0 μB/cell
DOS(E_F) = 1.75 states/eV/f.u.
crystal system = tetragonal
mass density = 8.3 g cm⁻³
uncorrected energy = -37.54 eV for the cell shown
E_form = -0.566 eV per atom

Cell and atoms, written as CIF:
```
data_Y2RuAuC
_cell_length_a 5.0028
_cell_length_b 5.0028
_cell_length_c 3.8797
_cell_angle_alpha 90.00
_cell_angle_beta 90.00
_cell_angle_gamma 90.00
_space_group_name_H-M_alt 'P 4/m m m'
_space_group_IT_number 123
_space_group_name_Hall '-P 4 2'
loop_
_atom_site_label
_atom_site_type_symbol
_atom_site_fract_x
_atom_site_fract_y
_atom_site_fract_z
Y1 Y 0.0000 0.5000 0.0000
Ru1 Ru 0.0000 0.0000 0.5000
Au1 Au 0.5000 0.5000 0.5000
C1 C 0.0000 0.0000 0.0000
```

---

Record 6
The following is a PBE calculation of Au2CS after structural relaxation, from the Alexandria database.

Computed properties:
total magnetic moment = 0.0 μB/cell
DOS(E_F) = 3.21 states/eV/f.u.
crystal system = tetragonal
mass density = 10.3 g cm⁻³
formation energy (no corrections) = 393 kJ/mol of formula units
uncorrected energy = -63.34 eV for the cell shown
energy relative to the lowest polymorph listed for this composition = 0 meV/atom

Cell and atoms, written as CIF:
```
data_Au2CS
_cell_length_a 5.8517
_cell_length_b 5.8517
_cell_length_c 8.2729
_cell_angle_alpha 90.00
_cell_angle_beta 90.00
_cell_angle_gamma 90.00
_space_group_name_H-M_alt 'I -4 2 d'
_space_group_IT_number 122
_space_group_name_Hall 'I -4 2bw'
loop_
_atom_site_label
_atom_site_type_symbol
_atom_site_fract_x
_atom_site_fract_y
_atom_site_fract_z
Au1 Au 0.1836 0.2500 0.1250
C1 C 0.0000 0.0000 0.0000
S1 S 0.0000 0.0000 0.5000
```

---

Record 7
The following is a PBE calculation of AuC3S after structural relaxation, from the Alexandria database.

Computed properties:
total magnetic moment = 0.0 μB/cell
DOS(E_F) = 1.51 states/eV/f.u.
crystal system = cubic
mass density = 8.8 g cm⁻³
formation energy (no corrections) = 1258 kJ/mol of formula units
uncorrected energy = -22.03 eV for the cell shown
energy relative to the lowest polymorph listed for this composition = 0 meV/atom

Cell and atoms, written as CIF:
```
data_AuC3S
_cell_length_a 3.6810
_cell_length_b 3.6810
_cell_length_c 3.6810
_cell_angle_alpha 90.00
_cell_angle_beta 90.00
_cell_angle_gamma 90.00
_space_group_name_H-M_alt 'P m -3 m'
_space_group_IT_number 221
_space_group_name_Hall '-P 4 2 3'
loop_
_atom_site_label
_atom_site_type_symbol
_atom_site_fract_x
_atom_site_fract_y
_atom_site_fract_z
Au1 Au 0.0000 0.0000 0.0000
C1 C 0.0000 0.5000 0.5000
S1 S 0.5000 0.5000 0.5000
```

---

Record 8
The following is a PBE calculation of AuCS3 after structural relaxation, from the Alexandria database.

Computed properties:
total magnetic moment = 1.0 μB/cell
DOS(E_F) = 5.48 states/eV/f.u.
crystal system = cubic
mass density = 4.4 g cm⁻³
formation energy (no corrections) = 1055 kJ/mol of formula units
uncorrected energy = -13.95 eV for the cell shown
energy relative to the lowest polymorph listed for this composition = 806 meV/atom

Cell and atoms, written as CIF:
```
data_AuCS3
_cell_length_a 4.8581
_cell_length_b 4.8581
_cell_length_c 4.8581
_cell_angle_alpha 90.00
_cell_angle_beta 90.00
_cell_angle_gamma 90.00
_space_group_name_H-M_alt 'P m -3 m'
_space_group_IT_number 221
_space_group_name_Hall '-P 4 2 3'
loop_
_atom_site_label
_atom_site_type_symbol
_atom_site_fract_x
_atom_site_fract_y
_atom_site_fract_z
Au1 Au 0.0000 0.0000 0.0000
C1 C 0.5000 0.5000 0.5000
S1 S 0.0000 0.0000 0.5000
```

---

Record 9
The following is a PBE calculation of AuCS3 after structural relaxation, from the Alexandria database.

Computed properties:
total magnetic moment = 0.0 μB/cell
DOS(E_F) = 4.53 states/eV/f.u.
crystal system = cubic
mass density = 6.9 g cm⁻³
formation energy (no corrections) = 666 kJ/mol of formula units
uncorrected energy = -17.98 eV for the cell shown
energy relative to the lowest polymorph listed for this composition = 0 meV/atom

Cell and atoms, written as CIF:
```
data_AuCS3
_cell_length_a 4.1842
_cell_length_b 4.1842
_cell_length_c 4.1842
_cell_angle_alpha 90.00
_cell_angle_beta 90.00
_cell_angle_gamma 90.00
_space_group_name_H-M_alt 'P m -3 m'
_space_group_IT_number 221
_space_group_name_Hall '-P 4 2 3'
loop_
_atom_site_label
_atom_site_type_symbol
_atom_site_fract_x
_atom_site_fract_y
_atom_site_fract_z
Au1 Au 0.0000 0.0000 0.0000
C1 C 0.5000 0.5000 0.5000
S1 S 0.0000 0.5000 0.5000
```

---

Record 10
The following is a PBE calculation of AuCS after structural relaxation, from the Alexandria database.

Computed properties:
total magnetic moment = 0.0 μB/cell
DOS(E_F) = 0.99 states/eV/f.u.
crystal system = tetragonal
mass density = 4.7 g cm⁻³
formation energy (no corrections) = 359 kJ/mol of formula units
uncorrected energy = -25.82 eV for the cell shown

Cell and atoms, written as CIF:
```
data_AuCS
_cell_length_a 3.7985
_cell_length_b 3.7985
_cell_length_c 11.7136
_cell_angle_alpha 90.00
_cell_angle_beta 90.00
_cell_angle_gamma 90.00
_space_group_name_H-M_alt 'P 4/n m m'
_space_group_IT_number 129
loop_
_space_group_symop_operation_xyz
'x,y,z'
'-x,-y,-z'
'-y+1/2,x,z'
'y+1/2,-x,-z'
'-x+1/2,-y+1/2,z'
'x+1/2,y+1/2,-z'
'y,-x+1/2,z'
'-y,x+1/2,-z'
'x+1/2,-y,-z'
'-x+1/2,y,z'
'-y,-x,-z'
'y,x,z'
'-x,y+1/2,-z'
'x,-y+1/2,z'
'y+1/2,x+1/2,-z'
'-y+1/2,-x+1/2,z'
loop_
_atom_site_label
_atom_site_type_symbol
_atom_site_fract_x
_atom_site_fract_y
_atom_site_fract_z
Au1 Au 0.2500 0.7500 0.0000
C1 C 0.2500 0.2500 0.4473
S1 S 0.2500 0.2500 0.3152
```

---

Record 11
The following is a PBE calculation of Au2CS after structural relaxation, from the Alexandria database.

Computed properties:
total magnetic moment = 0.0 μB/cell
DOS(E_F) = 2.06 states/eV/f.u.
crystal system = cubic
mass density = 12.0 g cm⁻³
formation energy (no corrections) = 609 kJ/mol of formula units
uncorrected energy = -54.37 eV for the cell shown
energy relative to the lowest polymorph listed for this composition = 561 meV/atom

Cell and atoms, written as CIF:
```
data_Au2CS
_cell_length_a 6.2363
_cell_length_b 6.2363
_cell_length_c 6.2363
_cell_angle_alpha 90.00
_cell_angle_beta 90.00
_cell_angle_gamma 90.00
_space_group_name_H-M_alt 'F m -3 m'
_space_group_IT_number 225
_space_group_name_Hall '-F 4 2 3'
loop_
_atom_site_label
_atom_site_type_symbol
_atom_site_fract_x
_atom_site_fract_y
_atom_site_fract_z
Au1 Au 0.2500 0.2500 0.2500
C1 C 0.0000 0.0000 0.0000
S1 S 0.0000 0.0000 0.5000
```

---

Record 12
The following is a PBE calculation of AuC3S after structural relaxation, from the Alexandria database.

Computed properties:
total magnetic moment = 2.5 μB/cell
DOS(E_F) = 3.42 states/eV/f.u.
crystal system = cubic
mass density = 6.1 g cm⁻³
formation energy (no corrections) = 1576 kJ/mol of formula units
uncorrected energy = -18.75 eV for the cell shown
energy relative to the lowest polymorph listed for this composition = 657 meV/atom

Cell and atoms, written as CIF:
```
data_AuC3S
_cell_length_a 4.1607
_cell_length_b 4.1607
_cell_length_c 4.1607
_cell_angle_alpha 90.00
_cell_angle_beta 90.00
_cell_angle_gamma 90.00
_space_group_name_H-M_alt 'P m -3 m'
_space_group_IT_number 221
_space_group_name_Hall '-P 4 2 3'
loop_
_atom_site_label
_atom_site_type_symbol
_atom_site_fract_x
_atom_site_fract_y
_atom_site_fract_z
Au1 Au 0.0000 0.0000 0.0000
C1 C 0.0000 0.0000 0.5000
S1 S 0.5000 0.5000 0.5000
```